Entry 1:
# CaRu2W, optimized geometry, DFT PBEsol
data_CaRu2W
_symmetry_space_group_name_H-M 'P 1'
_symmetry_Int_Tables_number 1
_cell_length_a 3.782
_cell_length_b 3.782
_cell_length_c 5.229
_cell_angle_alpha 111.20
_cell_angle_beta 111.20
_cell_angle_gamma 90.00
loop_
_symmetry_equiv_pos_as_xyz
'x,y,z'
loop_
_atom_site_label
_atom_site_type_symbol
_atom_site_fract_x
_atom_site_fract_y
_atom_site_fract_z
Ru1 Ru 0.750 0.250 0.500
W1 W 0.500 0.500 0.000
Ru2 Ru 0.000 0.000 0.000
Ca1 Ca 0.250 0.750 0.500
# Space-group type ... No. 119
# Formation energy ... 70 kJ/mol of atoms

=====

Entry 2:
# CaYRu2, optimized geometry, DFT PBEsol
data_CaYRu2
_symmetry_space_group_name_H-M 'P 1'
_symmetry_Int_Tables_number 1
_cell_length_a 3.957
_cell_length_b 3.957
_cell_length_c 5.551
_cell_angle_alpha 110.88
_cell_angle_beta 110.88
_cell_angle_gamma 90.00
loop_
_symmetry_equiv_pos_as_xyz
'x,y,z'
loop_
_atom_site_label
_atom_site_type_symbol
_atom_site_fract_x
_atom_site_fract_y
_atom_site_fract_z
Ca1 Ca 0.250 0.750 0.500
Ru1 Ru 0.000 0.000 0.000
Ru2 Ru 0.750 0.250 0.500
Y1 Y 0.500 0.500 0.000
# Space-group type ... No. 119
# Formation energy ... 35 kJ/mol of atoms

=====

Entry 3:
# Ca2YRu, optimized geometry, DFT PBEsol
data_Ca2YRu
_symmetry_space_group_name_H-M 'P 1'
_symmetry_Int_Tables_number 1
_cell_length_a 3.361
_cell_length_b 3.361
_cell_length_c 9.350
_cell_angle_alpha 90.00
_cell_angle_beta 90.00
_cell_angle_gamma 90.32
loop_
_symmetry_equiv_pos_as_xyz
'x,y,z'
loop_
_atom_site_label
_atom_site_type_symbol
_atom_site_fract_x
_atom_site_fract_y
_atom_site_fract_z
Ru1 Ru 0.500 0.500 0.500
Ca1 Ca 0.000 0.000 0.322
Y1 Y 0.500 0.500 0.000
Ca2 Ca 0.000 0.000 0.678
# Energy relative to the lowest polymorph listed for this composition ... 354 meV/atom
# Space-group type ... No. 65
# Formation energy ... 33 kJ/mol of atoms

=====

Entry 4:
# CaY3Ru, optimized geometry, DFT PBEsol
data_CaY3Ru
_symmetry_space_group_name_H-M 'P 1'
_symmetry_Int_Tables_number 1
_cell_length_a 5.367
_cell_length_b 5.367
_cell_length_c 5.367
_cell_angle_alpha 90.00
_cell_angle_beta 90.00
_cell_angle_gamma 90.00
loop_
_symmetry_equiv_pos_as_xyz
'x,y,z'
loop_
_atom_site_label
_atom_site_type_symbol
_atom_site_fract_x
_atom_site_fract_y
_atom_site_fract_z
Y1 Y 0.000 0.000 0.500
Y2 Y 0.000 0.500 0.000
Y3 Y 0.500 0.000 0.000
Ru1 Ru 0.000 0.000 0.000
Ca1 Ca 0.500 0.500 0.500
# Energy relative to the lowest polymorph listed for this composition ... 44 meV/atom
# Space-group type ... No. 221
# Formation energy ... -11 kJ/mol of atoms

=====

Entry 5:
# Ca2YRu, optimized geometry, DFT PBEsol
data_Ca2YRu
_symmetry_space_group_name_H-M 'P 1'
_symmetry_Int_Tables_number 1
_cell_length_a 3.453
_cell_length_b 3.453
_cell_length_c 9.260
_cell_angle_alpha 90.00
_cell_angle_beta 90.00
_cell_angle_gamma 90.00
loop_
_symmetry_equiv_pos_as_xyz
'x,y,z'
loop_
_atom_site_label
_atom_site_type_symbol
_atom_site_fract_x
_atom_site_fract_y
_atom_site_fract_z
Ca1 Ca 0.500 0.500 0.014
Y1 Y 0.000 0.000 0.329
Ru1 Ru 0.500 0.500 0.482
Ca2 Ca 0.000 0.000 0.676
# Energy relative to the lowest polymorph listed for this composition ... 0 meV/atom
# Space-group type ... No. 99
# Formation energy ... -1 kJ/mol of atoms

=====

Entry 6:
# CaY3Ru, optimized geometry, DFT PBEsol
data_CaY3Ru
_symmetry_space_group_name_H-M 'P 1'
_symmetry_Int_Tables_number 1
_cell_length_a 3.711
_cell_length_b 8.790
_cell_length_c 8.927
_cell_angle_alpha 103.97
_cell_angle_beta 90.00
_cell_angle_gamma 90.00
loop_
_symmetry_equiv_pos_as_xyz
'x,y,z'
loop_
_atom_site_label
_atom_site_type_symbol
_atom_site_fract_x
_atom_site_fract_y
_atom_site_fract_z
Y1 Y 0.750 0.100 0.665
Ru1 Ru 0.250 0.904 0.756
Y2 Y 0.250 0.304 0.419
Y3 Y 0.750 0.838 0.976
Y4 Y 0.250 0.162 0.024
Ru2 Ru 0.750 0.096 0.244
Y5 Y 0.750 0.696 0.581
Y6 Y 0.250 0.900 0.335
Ca1 Ca 0.250 0.478 0.816
Ca2 Ca 0.750 0.522 0.184
# Energy relative to the lowest polymorph listed for this composition ... 0 meV/atom
# Space-group type ... No. 11
# Formation energy ... -15 kJ/mol of atoms

=====

Entry 7:
# CaY2Ru, optimized geometry, DFT PBEsol
data_CaY2Ru
_symmetry_space_group_name_H-M 'P 1'
_symmetry_Int_Tables_number 1
_cell_length_a 3.387
_cell_length_b 3.387
_cell_length_c 9.018
_cell_angle_alpha 90.00
_cell_angle_beta 90.00
_cell_angle_gamma 90.00
loop_
_symmetry_equiv_pos_as_xyz
'x,y,z'
loop_
_atom_site_label
_atom_site_type_symbol
_atom_site_fract_x
_atom_site_fract_y
_atom_site_fract_z
Ru1 Ru 0.500 0.500 0.769
Ca1 Ca 0.000 0.000 0.566
Y1 Y 0.000 0.000 0.930
Y2 Y 0.500 0.500 0.234
# Energy relative to the lowest polymorph listed for this composition ... 210 meV/atom
# Space-group type ... No. 99
# Formation energy ... 3 kJ/mol of atoms

=====

Entry 8:
# CaY2Ru, optimized geometry, DFT PBEsol
data_CaY2Ru
_symmetry_space_group_name_H-M 'P 1'
_symmetry_Int_Tables_number 1
_cell_length_a 3.394
_cell_length_b 3.394
_cell_length_c 9.415
_cell_angle_alpha 90.00
_cell_angle_beta 90.00
_cell_angle_gamma 90.00
loop_
_symmetry_equiv_pos_as_xyz
'x,y,z'
loop_
_atom_site_label
_atom_site_type_symbol
_atom_site_fract_x
_atom_site_fract_y
_atom_site_fract_z
Y1 Y 0.000 0.000 0.672
Y2 Y 0.000 0.000 0.328
Ru1 Ru 0.500 0.500 0.500
Ca1 Ca 0.500 0.500 0.000
# Energy relative to the lowest polymorph listed for this composition ... 0 meV/atom
# Space-group type ... No. 123
# Formation energy ... -17 kJ/mol of atoms

=====

Entry 9:
# Ca2YZnRu, optimized geometry, DFT PBEsol
data_Ca2YZnRu
_symmetry_space_group_name_H-M 'P 1'
_symmetry_Int_Tables_number 1
_cell_length_a 4.558
_cell_length_b 6.077
_cell_length_c 6.077
_cell_angle_alpha 90.00
_cell_angle_beta 90.00
_cell_angle_gamma 90.00
loop_
_symmetry_equiv_pos_as_xyz
'x,y,z'
loop_
_atom_site_label
_atom_site_type_symbol
_atom_site_fract_x
_atom_site_fract_y
_atom_site_fract_z
Ca1 Ca 0.000 0.000 0.500
Y1 Y 0.000 0.000 0.000
Ca2 Ca 0.000 0.500 0.000
Ru1 Ru 0.500 0.000 0.000
Zn1 Zn 0.500 0.500 0.500
# Space-group type ... No. 123
# Formation energy ... 103 kJ/mol of atoms

=====

Entry 10:
# CaZnRu, optimized geometry, DFT PBEsol
data_CaZnRu
_symmetry_space_group_name_H-M 'P 1'
_symmetry_Int_Tables_number 1
_cell_length_a 3.349
_cell_length_b 3.349
_cell_length_c 5.432
_cell_angle_alpha 107.95
_cell_angle_beta 107.95
_cell_angle_gamma 90.00
loop_
_symmetry_equiv_pos_as_xyz
'x,y,z'
loop_
_atom_site_label
_atom_site_type_symbol
_atom_site_fract_x
_atom_site_fract_y
_atom_site_fract_z
Zn1 Zn 0.709 0.709 0.419
Ca1 Ca 0.996 0.996 0.992
Ru1 Ru 0.294 0.294 0.589
# Space-group type ... No. 107
# Formation energy ... 6 kJ/mol of atoms

=====

Entry 11:
# Ca2ZnRu, optimized geometry, DFT PBEsol
data_Ca2ZnRu
_symmetry_space_group_name_H-M 'P 1'
_symmetry_Int_Tables_number 1
_cell_length_a 3.543
_cell_length_b 4.790
_cell_length_c 5.803
_cell_angle_alpha 114.19
_cell_angle_beta 107.78
_cell_angle_gamma 90.00
loop_
_symmetry_equiv_pos_as_xyz
'x,y,z'
loop_
_atom_site_label
_atom_site_type_symbol
_atom_site_fract_x
_atom_site_fract_y
_atom_site_fract_z
Ru1 Ru 0.536 0.534 0.071
Ca1 Ca 0.983 0.983 0.967
Zn1 Zn 0.208 0.709 0.416
Ca2 Ca 0.773 0.274 0.546
# Space-group type ... No. 8
# Formation energy ... 8 kJ/mol of atoms

=====

Entry 12:
# CaZn3Ru, optimized geometry, DFT PBEsol
data_CaZn3Ru
_symmetry_space_group_name_H-M 'P 1'
_symmetry_Int_Tables_number 1
_cell_length_a 4.717
_cell_length_b 4.717
_cell_length_c 4.717
_cell_angle_alpha 90.00
_cell_angle_beta 90.00
_cell_angle_gamma 90.00
loop_
_symmetry_equiv_pos_as_xyz
'x,y,z'
loop_
_atom_site_label
_atom_site_type_symbol
_atom_site_fract_x
_atom_site_fract_y
_atom_site_fract_z
Zn1 Zn 0.000 0.000 0.500
Zn2 Zn 0.500 0.000 0.000
Zn3 Zn 0.000 0.500 0.000
Ru1 Ru 0.000 0.000 0.000
Ca1 Ca 0.500 0.500 0.500
# Space-group type ... No. 221
# Formation energy ... 4 kJ/mol of atoms

=====

Entry 13:
# CaZn2Ru, optimized geometry, DFT PBEsol
data_CaZn2Ru
_symmetry_space_group_name_H-M 'P 1'
_symmetry_Int_Tables_number 1
_cell_length_a 4.522
_cell_length_b 4.522
_cell_length_c 4.522
_cell_angle_alpha 60.00
_cell_angle_beta 60.00
_cell_angle_gamma 60.00
loop_
_symmetry_equiv_pos_as_xyz
'x,y,z'
loop_
_atom_site_label
_atom_site_type_symbol
_atom_site_fract_x
_atom_site_fract_y
_atom_site_fract_z
Zn1 Zn 0.750 0.750 0.750
Ca1 Ca 0.000 0.000 0.000
Zn2 Zn 0.250 0.250 0.250
Ru1 Ru 0.500 0.500 0.500
# Space-group type ... No. 225
# Formation energy ... 5 kJ/mol of atoms

=====

Entry 14:
# CaZnRu, optimized geometry, DFT PBEsol
data_CaZnRu
_symmetry_space_group_name_H-M 'P 1'
_symmetry_Int_Tables_number 1
_cell_length_a 3.064
_cell_length_b 3.064
_cell_length_c 6.645
_cell_angle_alpha 90.00
_cell_angle_beta 90.00
_cell_angle_gamma 120.00
loop_
_symmetry_equiv_pos_as_xyz
'x,y,z'
loop_
_atom_site_label
_atom_site_type_symbol
_atom_site_fract_x
_atom_site_fract_y
_atom_site_fract_z
Zn1 Zn 0.333 0.667 0.370
Ca1 Ca 0.000 0.000 0.980
Ru1 Ru 0.667 0.333 0.650
# Space-group type ... No. 156
# Formation energy ... 43 kJ/mol of atoms

=====

Entry 15:
# Ca2ZnRu, optimized geometry, DFT PBEsol
data_Ca2ZnRu
_symmetry_space_group_name_H-M 'P 1'
_symmetry_Int_Tables_number 1
_cell_length_a 3.983
_cell_length_b 4.256
_cell_length_c 5.745
_cell_angle_alpha 90.00
_cell_angle_beta 110.28
_cell_angle_gamma 90.00
loop_
_symmetry_equiv_pos_as_xyz
'x,y,z'
loop_
_atom_site_label
_atom_site_type_symbol
_atom_site_fract_x
_atom_site_fract_y
_atom_site_fract_z
Ca1 Ca 0.395 0.500 0.790
Ru1 Ru 0.810 0.000 0.620
Zn1 Zn 0.693 0.500 0.386
Ca2 Ca 0.106 0.000 0.212
# Space-group type ... No. 38
# Formation energy ... 4 kJ/mol of atoms